Below is a geometry-optimized DyEr2Au structure, with properties calculated at the PBE-GGA level.

a b c (Å): 3.6467 3.6467 29.7837
angles (deg): 90.00 90.00 120.00
Space group R-3m (No. 166, hexagonal axes)
Asymmetric unit:
Dy  0.0000  0.0000  0.0000
Er  0.0000  0.0000  0.2368
Au  0.0000  0.0000  0.5000

Values from the calculation:
- Magnetization: 0.000 μB/atom
- Energy above the lowest structure with this stoichiometry: 172.0 meV/atom
- DFT total energy: -4.54 eV/atom
- Formation energy from the elements: -110 kJ/mol of formula units